[1]
Material: SrMnH6
Method: DFT, GGA-PBE
State: relaxed

Cell lengths 4.7808, 4.7808, 4.9859 Å; angles 118.81, 118.81, 59.89 degrees
With the nearest neighbours (Å) after each atom.
Element x y z (fractional)
Sr 0.0000 0.0000 0.0000  12 H 2.65
Mn 0.5000 0.5000 0.5000  6 H 1.64
H 0.0987 0.5890 0.2763  1 Mn 1.64
H 0.4111 0.4111 0.7225  1 Mn 1.64
H 0.4110 0.9013 0.7237  1 Mn 1.64
H 0.5890 0.0987 0.2763  1 Mn 1.64
H 0.5889 0.5889 0.2775  1 Mn 1.64
H 0.9013 0.4110 0.7237  1 Mn 1.64

Output
* E: -3.973 eV per atom
* space-group type: No. 12
* calculated density: 3.012 g cm⁻³

***

[2]
Material: SrTaMnH2
Method: DFT, GGA-PBE
State: relaxed

Cell lengths 4.3235, 4.3235, 4.5769 Å; angles 90.00, 90.00, 90.00 degrees
With the nearest neighbours (Å) after each atom.
Element x y z (fractional)
Sr 0.0000 0.0000 0.0000  4 Ta 3.06, 8 H 3.15
Ta 0.5000 0.5000 0.0000  2 Mn 2.29
Mn 0.5000 0.5000 0.5000  4 H 2.16, 2 Ta 2.29
H 0.0000 0.5000 0.5000  2 Mn 2.16
H 0.5000 0.0000 0.5000  2 Mn 2.16

Output
* E: -4.905 eV per atom
* space-group type: No. 123
* calculated density: 6.318 g cm⁻³